# LaBi2Au2

A relaxed LaBi2Au2 crystal (PBE, the Alexandria database).

E above lowest polymorph in meV per atom: 0
ΔE_f in eV/atom: -0.49
E_tot in eV per atom: -4.3414

Cell lengths 4.746, 5.118, 11.649 Å; angles 90.00, 90.11, 90.00 degrees
Atoms (fractional coordinates):
La: 0.249 0.250 0.333
La: 0.751 0.750 0.667
Bi: 0.251 0.250 0.015
Bi: 0.251 0.250 0.690
Bi: 0.749 0.750 0.310
Bi: 0.749 0.750 0.985
Au: 0.249 0.750 0.145
Au: 0.250 0.750 0.496
Au: 0.750 0.250 0.504
Au: 0.751 0.250 0.855